1.
Compound: PuAsOs
Source: OQMD
Functional: PBE-GGA
Structure: optimized geometry

crystal system = cubic
space-group type = F-43m
magnetization = 4.60 μB per cell
uncorrected energy = -30.15 eV/cell

Structure (CIF):
```
data_PuAsOs
_chemical_formula_sum 'Pu1 As1 Os1'
_cell_length_a 4.419
_cell_length_b 4.419
_cell_length_c 4.419
_cell_angle_alpha 60.00
_cell_angle_beta 60.00
_cell_angle_gamma 60.00
_symmetry_space_group_name_H-M 'P 1'
_symmetry_Int_Tables_number 1
_symmetry_space_group_name_Hall 'P 1'
loop_
_atom_site_label
_atom_site_type_symbol
_atom_site_fract_x
_atom_site_fract_y
_atom_site_fract_z
As1 As 0.250 0.250 0.250
Os1 Os 0.000 0.000 0.000
Pu1 Pu 0.750 0.750 0.750
```

2.
Compound: RbNpHg
Source: OQMD
Functional: PBE-GGA
Structure: optimized geometry

crystal system = cubic
space-group type = F-43m
magnetization = 5.75 μB per cell
uncorrected energy = -10.72 eV/cell

Structure (CIF):
```
data_RbNpHg
_chemical_formula_sum 'Rb1 Np1 Hg1'
_cell_length_a 5.535
_cell_length_b 5.535
_cell_length_c 5.535
_cell_angle_alpha 60.00
_cell_angle_beta 60.00
_cell_angle_gamma 60.00
_symmetry_space_group_name_H-M 'P 1'
_symmetry_Int_Tables_number 1
_symmetry_space_group_name_Hall 'P 1'
loop_
_atom_site_label
_atom_site_type_symbol
_atom_site_fract_x
_atom_site_fract_y
_atom_site_fract_z
Hg1 Hg 0.250 0.250 0.250
Np1 Np 0.000 0.000 0.000
Rb1 Rb 0.750 0.750 0.750
```

3.
Compound: PaAsAuO
Source: OQMD
Functional: PBE-GGA
Structure: optimized geometry

crystal system = tetragonal
space-group type = P4/nmm
magnetization = 2.00 μB per cell
uncorrected energy = -53.81 eV/cell

Structure (CIF):
```
data_PaAsAuO
_chemical_formula_sum 'Pa2 As2 Au2 O2'
_cell_length_a 4.044
_cell_length_b 4.044
_cell_length_c 8.803
_cell_angle_alpha 90.00
_cell_angle_beta 90.00
_cell_angle_gamma 90.00
_symmetry_space_group_name_H-M 'P 1'
_symmetry_Int_Tables_number 1
_symmetry_space_group_name_Hall 'P 1'
loop_
_atom_site_label
_atom_site_type_symbol
_atom_site_fract_x
_atom_site_fract_y
_atom_site_fract_z
As1 As 0.750 0.750 0.288
As2 As 0.250 0.250 0.712
Au1 Au 0.750 0.250 0.500
Au2 Au 0.250 0.750 0.500
O1 O 0.750 0.250 0.000
O2 O 0.250 0.750 0.000
Pa1 Pa 0.250 0.250 0.153
Pa2 Pa 0.750 0.750 0.847
```

4.
Compound: YAlAu2
Source: OQMD
Functional: PBE-GGA
Structure: optimized geometry

crystal system = cubic
space-group type = F-43m
magnetization = 0.00 μB per cell
uncorrected energy = -18.81 eV/cell

Structure (CIF):
```
data_YAlAu2
_chemical_formula_sum 'Y1 Al1 Au2'
_cell_length_a 4.810
_cell_length_b 4.810
_cell_length_c 4.810
_cell_angle_alpha 60.00
_cell_angle_beta 60.00
_cell_angle_gamma 60.00
_symmetry_space_group_name_H-M 'P 1'
_symmetry_Int_Tables_number 1
_symmetry_space_group_name_Hall 'P 1'
loop_
_atom_site_label
_atom_site_type_symbol
_atom_site_fract_x
_atom_site_fract_y
_atom_site_fract_z
Al1 Al 0.500 0.500 0.500
Au1 Au 0.000 0.000 0.000
Au2 Au 0.750 0.750 0.750
Y1 Y 0.250 0.250 0.250
```

5.
Compound: NaLaU
Source: OQMD
Functional: PBE-GGA
Structure: optimized geometry

crystal system = cubic
space-group type = F-43m
magnetization = 5.56 μB per cell
uncorrected energy = -13.21 eV/cell

Structure (CIF):
```
data_NaLaU
_chemical_formula_sum 'Na1 La1 U1'
_cell_length_a 5.274
_cell_length_b 5.274
_cell_length_c 5.274
_cell_angle_alpha 60.00
_cell_angle_beta 60.00
_cell_angle_gamma 60.00
_symmetry_space_group_name_H-M 'P 1'
_symmetry_Int_Tables_number 1
_symmetry_space_group_name_Hall 'P 1'
loop_
_atom_site_label
_atom_site_type_symbol
_atom_site_fract_x
_atom_site_fract_y
_atom_site_fract_z
La1 La 0.250 0.250 0.250
Na1 Na 0.000 0.000 0.000
U1 U 0.750 0.750 0.750
```

6.
Compound: K2AgSb
Source: OQMD
Functional: PBE-GGA
Structure: optimized geometry

crystal system = orthorhombic
space-group type = C222_1
uncorrected energy = -21.63 eV/cell

Structure (CIF):
```
data_K2AgSb
_chemical_formula_sum 'K4 Ag2 Sb2'
_cell_length_a 6.720
_cell_length_b 6.720
_cell_length_c 6.326
_cell_angle_alpha 90.00
_cell_angle_beta 90.00
_cell_angle_gamma 103.18
_symmetry_space_group_name_H-M 'P 1'
_symmetry_Int_Tables_number 1
_symmetry_space_group_name_Hall 'P 1'
loop_
_atom_site_label
_atom_site_type_symbol
_atom_site_fract_x
_atom_site_fract_y
_atom_site_fract_z
Ag1 Ag 0.999 0.001 0.250
Ag2 Ag 0.001 0.999 0.750
K1 K 0.525 0.179 0.003
K2 K 0.821 0.475 0.497
K3 K 0.475 0.821 0.503
K4 K 0.179 0.525 0.997
Sb1 Sb 0.734 0.734 0.000
Sb2 Sb 0.266 0.266 0.500
```

7.
Compound: Nd3Mg3CdInGa
Source: OQMD
Functional: PBE-GGA
Structure: optimized geometry

crystal system = hexagonal
space-group type = P-6
magnetization = 0.00 μB per cell
uncorrected energy = -29.31 eV/cell

Structure (CIF):
```
data_Nd3Mg3CdInGa
_chemical_formula_sum 'Nd3 Mg3 Cd1 In1 Ga1'
_cell_length_a 7.639
_cell_length_b 7.639
_cell_length_c 4.657
_cell_angle_alpha 90.00
_cell_angle_beta 90.00
_cell_angle_gamma 120.00
_symmetry_space_group_name_H-M 'P 1'
_symmetry_Int_Tables_number 1
_symmetry_space_group_name_Hall 'P 1'
loop_
_atom_site_label
_atom_site_type_symbol
_atom_site_fract_x
_atom_site_fract_y
_atom_site_fract_z
Cd1 Cd 0.000 0.000 0.000
Ga1 Ga 0.333 0.667 0.500
In1 In 0.667 0.333 0.500
Mg1 Mg 0.240 0.247 0.500
Mg2 Mg 0.007 0.760 0.500
Mg3 Mg 0.753 0.993 0.500
Nd1 Nd 0.010 0.430 0.000
Nd2 Nd 0.570 0.580 0.000
Nd3 Nd 0.420 0.990 0.000
```

8.
Compound: Nd3Pb7
Source: OQMD
Functional: PBE-GGA
Structure: optimized geometry

crystal system = orthorhombic
space-group type = Cmmm
magnetization = 0.00 μB per cell
uncorrected energy = -44.60 eV/cell

Structure (CIF):
```
data_Nd3Pb7
_chemical_formula_sum 'Nd3 Pb7'
_cell_length_a 13.342
_cell_length_b 13.342
_cell_length_c 4.798
_cell_angle_alpha 90.00
_cell_angle_beta 90.00
_cell_angle_gamma 159.43
_symmetry_space_group_name_H-M 'P 1'
_symmetry_Int_Tables_number 1
_symmetry_space_group_name_Hall 'P 1'
loop_
_atom_site_label
_atom_site_type_symbol
_atom_site_fract_x
_atom_site_fract_y
_atom_site_fract_z
Nd1 Nd 0.000 0.000 0.000
Nd2 Nd 0.813 0.187 0.000
Nd3 Nd 0.187 0.813 0.000
Pb1 Pb 0.596 0.404 0.000
Pb2 Pb 0.404 0.596 0.000
Pb3 Pb 0.903 0.097 0.500
Pb4 Pb 0.707 0.293 0.500
Pb5 Pb 0.500 0.500 0.500
Pb6 Pb 0.293 0.707 0.500
Pb7 Pb 0.097 0.903 0.500
```

9.
Compound: Sr2PdClO3
Source: OQMD
Functional: PBE-GGA
Structure: optimized geometry

crystal system = tetragonal
space-group type = P4/nmm
uncorrected energy = -76.34 eV/cell

Structure (CIF):
```
data_Sr2PdClO3
_chemical_formula_sum 'Sr4 Pd2 Cl2 O6'
_cell_length_a 4.053
_cell_length_b 4.053
_cell_length_c 13.943
_cell_angle_alpha 90.00
_cell_angle_beta 90.00
_cell_angle_gamma 90.00
_symmetry_space_group_name_H-M 'P 1'
_symmetry_Int_Tables_number 1
_symmetry_space_group_name_Hall 'P 1'
loop_
_atom_site_label
_atom_site_type_symbol
_atom_site_fract_x
_atom_site_fract_y
_atom_site_fract_z
Cl1 Cl 0.000 0.500 0.424
Cl2 Cl 0.500 0.000 0.576
O1 O 0.000 0.500 0.072
O2 O 0.000 0.000 0.235
O3 O 0.500 0.500 0.235
O4 O 0.000 0.000 0.765
O5 O 0.500 0.500 0.765
O6 O 0.500 0.000 0.928
Pd1 Pd 0.000 0.500 0.220
Pd2 Pd 0.500 0.000 0.780
Sr1 Sr 0.500 0.000 0.098
Sr2 Sr 0.500 0.000 0.347
Sr3 Sr 0.000 0.500 0.653
Sr4 Sr 0.000 0.500 0.902
```

10.
Compound: HfZnCoBi
Source: OQMD
Functional: PBE-GGA
Structure: optimized geometry

crystal system = cubic
space-group type = F-43m
magnetization = 0.06 μB per cell
uncorrected energy = -21.08 eV/cell

Structure (CIF):
```
data_HfZnCoBi
_chemical_formula_sum 'Hf1 Zn1 Co1 Bi1'
_cell_length_a 4.695
_cell_length_b 4.695
_cell_length_c 4.695
_cell_angle_alpha 60.00
_cell_angle_beta 60.00
_cell_angle_gamma 60.00
_symmetry_space_group_name_H-M 'P 1'
_symmetry_Int_Tables_number 1
_symmetry_space_group_name_Hall 'P 1'
loop_
_atom_site_label
_atom_site_type_symbol
_atom_site_fract_x
_atom_site_fract_y
_atom_site_fract_z
Bi1 Bi 0.000 0.000 0.000
Co1 Co 0.750 0.750 0.750
Hf1 Hf 0.250 0.250 0.250
Zn1 Zn 0.500 0.500 0.500
```

Please write out number 3 again, unchanged.
Compound: PaAsAuO
Source: OQMD
Functional: PBE-GGA
Structure: optimized geometry

crystal system = tetragonal
space-group type = P4/nmm
magnetization = 2.00 μB per cell
uncorrected energy = -53.81 eV/cell

Structure (CIF):
```
data_PaAsAuO
_chemical_formula_sum 'Pa2 As2 Au2 O2'
_cell_length_a 4.044
_cell_length_b 4.044
_cell_length_c 8.803
_cell_angle_alpha 90.00
_cell_angle_beta 90.00
_cell_angle_gamma 90.00
_symmetry_space_group_name_H-M 'P 1'
_symmetry_Int_Tables_number 1
_symmetry_space_group_name_Hall 'P 1'
loop_
_atom_site_label
_atom_site_type_symbol
_atom_site_fract_x
_atom_site_fract_y
_atom_site_fract_z
As1 As 0.750 0.750 0.288
As2 As 0.250 0.250 0.712
Au1 Au 0.750 0.250 0.500
Au2 Au 0.250 0.750 0.500
O1 O 0.750 0.250 0.000
O2 O 0.250 0.750 0.000
Pa1 Pa 0.250 0.250 0.153
Pa2 Pa 0.750 0.750 0.847
```